A relaxed structure of Li2Ni2Pt. Source: Alexandria, functional GGA-PBE.

abc: 6.547 6.547 2.710
angles: 90.00 90.00 90.00
Element x y z (fractional)
Li (0.118, 0.382, 0.000)
Li (0.382, 0.882, 0.000)
Li (0.618, 0.118, 0.000)
Li (0.882, 0.618, 0.000)
Ni (0.186, 0.686, 0.500)
Ni (0.314, 0.186, 0.500)
Ni (0.686, 0.814, 0.500)
Ni (0.814, 0.314, 0.500)
Pt (0.000, 0.000, 0.000)
Pt (0.500, 0.500, 0.000)

Calculated values
Fermi-level density of states, states/eV/f.u.: 3.95
Formation energy from the elements, eV per atom: -0.03
Magnetization, μB/cell: 0.22